1.
VASP calculation (PBE) on a relaxed YVRu2 crystal.

Geometry as POSCAR:
```
YVRu2
1.0
3.134 0.000 0.000
0.000 3.134 0.000
0.000 0.000 6.780
Y V Ru
1 1 2
direct
0.000 0.000 0.000 Y
0.000 0.000 0.500 V
0.500 0.500 0.293 Ru
0.500 0.500 0.707 Ru
```

Summary:
As for the total DFT energy (no corrections): -8.769 eV per atom. The formation energy comes out at -0.24 eV per atom.

2.
VASP calculation (PBE) on a relaxed Y2VRu2 crystal.

Geometry as POSCAR:
```
Y2VRu2
1.0
6.549 0.000 0.000
0.000 6.549 0.000
0.000 0.000 4.639
Y V Ru
4 2 4
direct
0.178 0.322 0.000 Y
0.322 0.822 0.000 Y
0.678 0.178 0.000 Y
0.822 0.678 0.000 Y
0.000 0.000 0.500 V
0.500 0.500 0.500 V
0.140 0.640 0.500 Ru
0.360 0.140 0.500 Ru
0.640 0.860 0.500 Ru
0.860 0.360 0.500 Ru
```

Summary:
As for the total DFT energy (no corrections): -8.284 eV per atom. The formation energy comes out at -0.16 eV per atom.

3.
VASP calculation (PBE) on a relaxed YVRu2 crystal.

Geometry as POSCAR:
```
YVRu2
1.0
4.546 0.000 0.000
0.000 4.546 0.000
0.000 0.000 3.205
Y V Ru
1 1 2
direct
0.000 0.000 0.000 Y
0.500 0.500 0.000 V
0.000 0.500 0.500 Ru
0.500 0.000 0.500 Ru
```

Summary:
As for the total DFT energy (no corrections): -8.617 eV per atom. The formation energy comes out at -0.08 eV per atom.

4.
VASP calculation (PBE) on a relaxed YVRu crystal.

Geometry as POSCAR:
```
YVRu
1.0
2.028 -7.401 0.000
2.028 7.401 0.000
0.000 0.000 4.272
Y V Ru
2 2 2
direct
0.093 0.907 0.750 Y
0.907 0.093 0.250 Y
0.250 0.750 0.250 V
0.750 0.250 0.750 V
0.336 0.664 0.750 Ru
0.664 0.336 0.250 Ru
```

Summary:
As for the total DFT energy (no corrections): -8.369 eV per atom. The formation energy comes out at -0.08 eV per atom.

5.
VASP calculation (PBE) on a relaxed YV2ZnRu crystal.

Geometry as POSCAR:
```
YV2ZnRu
1.0
4.620 0.000 0.000
0.000 4.620 0.000
0.000 0.000 4.848
Y V Zn Ru
1 2 1 1
direct
0.000 0.000 0.000 Y
0.000 0.500 0.500 V
0.500 0.000 0.500 V
0.500 0.500 0.000 Zn
0.500 0.500 0.500 Ru
```

Summary:
As for the total DFT energy (no corrections): -6.638 eV per atom. The formation energy comes out at 0.41 eV per atom.

6.
VASP calculation (PBE) on a relaxed VZn2Ru2 crystal.

Geometry as POSCAR:
```
VZn2Ru2
1.0
6.776 0.000 0.000
0.000 6.776 0.000
0.000 0.000 3.083
V Zn Ru
2 4 4
direct
0.000 0.000 0.000 V
0.500 0.500 0.000 V
0.126 0.374 0.000 Zn
0.374 0.874 0.000 Zn
0.626 0.126 0.000 Zn
0.874 0.626 0.000 Zn
0.174 0.674 0.500 Ru
0.326 0.174 0.500 Ru
0.674 0.826 0.500 Ru
0.826 0.326 0.500 Ru
```

Summary:
As for the total DFT energy (no corrections): -5.891 eV per atom. The formation energy comes out at 0.15 eV per atom.

> The lowest total DFT energy (no corrections) belongs to which entry?

number 1

Copy entry 2 word for word.
VASP calculation (PBE) on a relaxed Y2VRu2 crystal.

Geometry as POSCAR:
```
Y2VRu2
1.0
6.549 0.000 0.000
0.000 6.549 0.000
0.000 0.000 4.639
Y V Ru
4 2 4
direct
0.178 0.322 0.000 Y
0.322 0.822 0.000 Y
0.678 0.178 0.000 Y
0.822 0.678 0.000 Y
0.000 0.000 0.500 V
0.500 0.500 0.500 V
0.140 0.640 0.500 Ru
0.360 0.140 0.500 Ru
0.640 0.860 0.500 Ru
0.860 0.360 0.500 Ru
```

Summary:
As for the total DFT energy (no corrections): -8.284 eV per atom. The formation energy comes out at -0.16 eV per atom.